No. 1
Entry from Alexandria: a relaxed SrThSi4 crystal (PBE).

Final energy in eV/f.u.: -33.578
Magnetic moment in μB per formula unit: 0.00
Calculated density in Mg/m³: 5.54

a = 4.3152 Å, b = 4.3152 Å, c = 13.9175 Å
α = 90.00°, β = 90.00°, γ = 90.00°
Last column: nearest neighbours and their distance in Å.
Space group I-4m2 (No. 119)
Inequivalent atoms, fractional coordinates:
Sr 0.0000 0.0000 0.0000 [2 per cell]  12 Si 3.18-3.29
Th 0.0000 0.5000 0.2500 [2 per cell]  12 Si 3.12-3.26
Si 0.0000 0.0000 0.4121 [4 per cell]  3 Si 2.43-2.45
Si 0.0000 0.5000 0.6674 [4 per cell]  3 Si 2.30-2.43


No. 2
Entry from Alexandria: a relaxed Co2NiPb crystal (PBE).

Final energy in eV/f.u.: -22.251
Magnetic moment in μB per formula unit: 3.23
Calculated density in Mg/m³: 10.46
Energy relative to the elements in eV/atom: 0.363

a = 3.9908 Å, b = 3.9908 Å, c = 13.2531 Å
α = 90.00°, β = 90.00°, γ = 120.00°
Last column: nearest neighbours and their distance in Å.
Space group R3m (No. 160, hexagonal axes)
Inequivalent atoms, fractional coordinates:
Co 0.0000 0.0000 0.0000 [3 per cell]  3 Co 2.31, 3 Ni 2.54
Co 0.0000 0.0000 0.3493 [3 per cell]  3 Co 2.31
Ni 0.0000 0.0000 0.5857 [3 per cell]  6 Co 2.54-2.64, 3 Pb 2.78
Pb 0.0000 0.0000 0.8012 [3 per cell]  7 Co 2.63-2.91, 4 Ni 2.78-2.86


No. 3
Entry from Alexandria: a relaxed BaMgAl2Pb crystal (PBE).

Final energy in eV/f.u.: -8.786
Magnetic moment in μB per formula unit: 0.00
Calculated density in Mg/m³: 3.42
Energy relative to the elements in eV/atom: 1.185

a = 5.8486 Å, b = 5.8486 Å, c = 6.0074 Å
α = 90.00°, β = 90.00°, γ = 90.00°
Last column: nearest neighbours and their distance in Å.
Space group P4/mmm (No. 123)
Inequivalent atoms, fractional coordinates:
Ba 0.0000 0.0000 0.0000 [1 per cell]  4 Al 2.92, 2 Mg 3.00
Mg 0.0000 0.0000 0.5000 [1 per cell]  2 Ba 3.00
Al 0.0000 0.5000 0.0000 [2 per cell]  2 Ba 2.92
Pb 0.5000 0.5000 0.5000 [1 per cell]  4 Mg 4.14, 8 Al 4.19


No. 4
Entry from Alexandria: a relaxed YbLuIn2 crystal (PBE).

Final energy in eV/f.u.: -13.259
Magnetic moment in μB per formula unit: 0.00
Calculated density in Mg/m³: 9.03
Energy relative to the elements in eV/atom: -0.434

a = 7.5167 Å, b = 7.5167 Å, c = 7.5167 Å
α = 90.00°, β = 90.00°, γ = 90.00°
Last column: nearest neighbours and their distance in Å.
Space group Fm-3m (No. 225)
Inequivalent atoms, fractional coordinates:
Yb 0.0000 0.0000 0.0000 [4 per cell]  8 In 3.25
Lu 0.0000 0.0000 0.5000 [4 per cell]  8 In 3.25
In 0.2500 0.2500 0.2500 [8 per cell]  4 Lu 3.25, 4 Yb 3.25


No. 5
Entry from Alexandria: a relaxed Pr2Y8Th crystal (PBE).

Final energy in eV/f.u.: -66.700
Magnetic moment in μB per formula unit: 0.00
Calculated density in Mg/m³: 5.48
Polymorph energy (0 for the lowest one) in meV per atom: 153
Energy relative to the elements in eV/atom: 0.181

a = 16.6684 Å, b = 6.6512 Å, c = 6.8223 Å
α = 90.00°, β = 100.98°, γ = 90.00°
Last column: nearest neighbours and their distance in Å.
Space group C2/m (No. 12)
Inequivalent atoms, fractional coordinates:
Pr 0.2000 0.0000 0.2943 [4 per cell]  7 Y 3.36-3.69
Y 0.0871 0.2639 0.9121 [8 per cell]  4 Y 3.14-3.51, 1 Th 3.40, 1 Pr 3.40
Y 0.0893 0.5000 0.4153 [4 per cell]  8 Y 3.39-3.77, 1 Pr 3.69, 2 Th 3.73
Y 0.2392 0.0000 0.7966 [4 per cell]  5 Y 3.30-3.55, 4 Pr 3.36-3.58
Th 0.0000 0.0000 0.5000 [2 per cell]  8 Y 3.40-3.73


No. 6
Entry from Alexandria: a relaxed ScNi3C crystal (PBE).

Final energy in eV/f.u.: -33.392
Magnetic moment in μB per formula unit: 0.00
Calculated density in Mg/m³: 6.67
Energy relative to the elements in eV/atom: -0.099

a = 5.3304 Å, b = 5.3304 Å, c = 4.7188 Å
α = 90.00°, β = 90.00°, γ = 120.00°
Last column: nearest neighbours and their distance in Å.
Space group P6_3/mmc (No. 194)
Inequivalent atoms, fractional coordinates:
Sc 0.3333 0.6667 0.2500 [2 per cell]  12 Ni 2.67-2.81
Ni 0.1680 0.3360 0.7500 [6 per cell]  2 C 1.95
C 0.0000 0.0000 0.0000 [2 per cell]  6 Ni 1.95


No. 7
Entry from Alexandria: a relaxed ScZn7 crystal (PBE).

Final energy in eV/f.u.: -15.601
Magnetic moment in μB per formula unit: 0.00
Calculated density in Mg/m³: 6.31
Energy relative to the elements in eV/atom: -0.044

a = 8.0903 Å, b = 8.0903 Å, c = 8.0903 Å
α = 90.00°, β = 90.00°, γ = 90.00°
Last column: nearest neighbours and their distance in Å.
Space group Fm-3m (No. 225)
Inequivalent atoms, fractional coordinates:
Sc 0.0000 0.0000 0.0000 [4 per cell]  12 Zn 2.86
Zn 0.0000 0.0000 0.5000 [4 per cell]  12 Zn 2.86
Zn 0.0000 0.2500 0.2500 [24 per cell]  2 Sc 2.86, 10 Zn 2.86


No. 8
Entry from Alexandria: a relaxed Hg3TeI2 crystal (PBE).

Final energy in eV/f.u.: -7.756
Magnetic moment in μB per formula unit: 0.00
Calculated density in Mg/m³: 6.05
Polymorph energy (0 for the lowest one) in meV per atom: 14

a = 14.1350 Å, b = 7.9538 Å, c = 9.6002 Å
α = 90.00°, β = 90.00°, γ = 90.00°
Last column: nearest neighbours and their distance in Å.
Space group Cmc2_1 (No. 36)
Inequivalent atoms, fractional coordinates:
Hg 0.0000 0.1638 0.0000 [4 per cell]  1 Te 2.75, 2 I 2.84
Hg 0.1271 0.4316 0.3656 [8 per cell]  2 Te 3.05-3.06, 2 I 3.11-3.33
Te 0.0000 0.4818 0.1129 [4 per cell]  5 Hg 2.75-3.06
I 0.1598 0.0198 0.4036 [8 per cell]  2 Hg 2.84-3.11


No. 9
Entry from Alexandria: a relaxed LiGaTe crystal (PBE).

Final energy in eV/f.u.: -9.167
Magnetic moment in μB per formula unit: 0.00
Calculated density in Mg/m³: 4.84
Polymorph energy (0 for the lowest one) in meV per atom: 107

a = 4.0212 Å, b = 6.4207 Å, c = 10.8666 Å
α = 90.00°, β = 90.00°, γ = 90.00°
Last column: nearest neighbours and their distance in Å.
Space group Immm (No. 71)
Inequivalent atoms, fractional coordinates:
Li 0.0000 0.2274 0.0000 [4 per cell]  1 Li 2.92, 4 Te 3.05, 4 Ga 3.10
Ga 0.0000 0.0000 0.3536 [4 per cell]  4 Te 2.89-3.21, 4 Li 3.10, 1 Ga 3.18
Te 0.0000 0.5000 0.3377 [4 per cell]  4 Ga 2.89-3.21, 4 Li 3.05


No. 10
Entry from Alexandria: a relaxed NaSr3Y crystal (PBE).

Final energy in eV/f.u.: -9.709
Magnetic moment in μB per formula unit: 3.55
Calculated density in Mg/m³: 2.05
Polymorph energy (0 for the lowest one) in meV per atom: 69
Energy relative to the elements in eV/atom: 0.624

a = 6.7252 Å, b = 6.7252 Å, c = 6.7252 Å
α = 90.00°, β = 90.00°, γ = 90.00°
Last column: nearest neighbours and their distance in Å.
Space group Pm-3m (No. 221)
Inequivalent atoms, fractional coordinates:
Na 0.0000 0.0000 0.0000 [1 per cell]  12 Sr 4.76
Sr 0.0000 0.5000 0.5000 [3 per cell]  2 Y 3.36
Y 0.5000 0.5000 0.5000 [1 per cell]  6 Sr 3.36


No. 11
Entry from Alexandria: a relaxed LiPaTc2 crystal (PBE).

Final energy in eV/f.u.: -32.022
Magnetic moment in μB per formula unit: 0.00
Calculated density in Mg/m³: 10.94
Polymorph energy (0 for the lowest one) in meV per atom: 63
Energy relative to the elements in eV/atom: 0.030

a = 4.1557 Å, b = 4.1557 Å, c = 3.8132 Å
α = 90.00°, β = 90.00°, γ = 90.00°
Last column: nearest neighbours and their distance in Å.
Space group P4/mmm (No. 123)
Inequivalent atoms, fractional coordinates:
Li 0.0000 0.0000 0.0000 [1 per cell]  8 Tc 2.82, 4 Pa 2.94
Pa 0.5000 0.5000 0.0000 [1 per cell]  8 Tc 2.82, 4 Li 2.94
Tc 0.0000 0.5000 0.5000 [2 per cell]  4 Li 2.82, 4 Pa 2.82, 4 Tc 2.94


No. 12
Entry from Alexandria: a relaxed TbZr2In crystal (PBE).

Final energy in eV/f.u.: -25.195
Magnetic moment in μB per formula unit: 0.00
Calculated density in Mg/m³: 7.87
Polymorph energy (0 for the lowest one) in meV per atom: 29
Energy relative to the elements in eV/atom: -0.183

a = 4.5895 Å, b = 4.5895 Å, c = 4.5715 Å
α = 90.00°, β = 90.00°, γ = 90.00°
Last column: nearest neighbours and their distance in Å.
Space group P4/mmm (No. 123)
Inequivalent atoms, fractional coordinates:
Tb 0.0000 0.0000 0.0000 [1 per cell]  8 Zr 3.24, 4 In 3.25
Zr 0.0000 0.5000 0.5000 [2 per cell]  4 In 3.24, 4 Tb 3.24, 4 Zr 3.25
In 0.5000 0.5000 0.0000 [1 per cell]  8 Zr 3.24, 4 Tb 3.25